(1)
VASP calculation (PBE) on a relaxed Li6MgHg2 crystal.

volume = 17.85 Å³ per atom
total magnetization = 0.000 μB/f.u.
ΔH_f (0 K) = -2.16 eV per formula unit
E = -1.760 eV per atom

Structure (CIF):
```
data_Li6MgHg2
_chemical_formula_sum 'Li6 Mg1 Hg2'
_space_group_name_H-M_alt 'P 1'
_space_group_IT_number 1
_space_group_name_Hall 'P 1'
_cell_length_a 4.639
_cell_length_b 4.642
_cell_length_c 8.610
_cell_angle_alpha 89.97
_cell_angle_beta 90.00
_cell_angle_gamma 119.98
loop_
_atom_site_label
_atom_site_fract_x
_atom_site_fract_y
_atom_site_fract_z
_atom_site_occupancy
Li1 0.667 0.333 0.613 1
Li2 0.000 0.000 0.831 1
Li3 0.333 0.667 0.059 1
Li4 0.667 0.333 0.941 1
Li5 0.333 0.667 0.387 1
Li6 0.000 0.000 0.169 1
Mg1 0.000 0.000 0.500 1
Hg1 0.667 0.333 0.272 1
Hg2 0.333 0.667 0.728 1
```

(2)
VASP calculation (PBE) on a relaxed Li4MgHg3 crystal.

volume = 18.74 Å³ per atom
total magnetization = 0.000 μB/f.u.
ΔH_f (0 K) = -2.46 eV per formula unit
E = -1.577 eV per atom

Structure (CIF):
```
data_Li4MgHg3
_chemical_formula_sum 'Li4 Mg1 Hg3'
_space_group_name_H-M_alt 'P 1'
_space_group_IT_number 1
_space_group_name_Hall 'P 1'
_cell_length_a 3.834
_cell_length_b 4.447
_cell_length_c 9.265
_cell_angle_alpha 76.28
_cell_angle_beta 101.94
_cell_angle_gamma 90.00
loop_
_atom_site_label
_atom_site_fract_x
_atom_site_fract_y
_atom_site_fract_z
_atom_site_occupancy
Li1 0.754 0.746 0.508 1
Hg1 0.000 0.500 0.000 1
Hg2 0.142 0.858 0.283 1
Mg1 0.500 0.000 0.000 1
Hg3 0.858 0.142 0.717 1
Li2 0.246 0.254 0.492 1
Li3 0.620 0.379 0.241 1
Li4 0.380 0.621 0.759 1
```

(3)
VASP calculation (PBE) on a relaxed Li2Mg2Hg crystal.

volume = 19.98 Å³ per atom
total magnetization = 0.000 μB/f.u.
ΔH_f (0 K) = -0.58 eV per formula unit
E = -1.579 eV per atom

Structure (CIF):
```
data_Li2Mg2Hg
_chemical_formula_sum 'Li4 Mg4 Hg2'
_space_group_name_H-M_alt 'P 1'
_space_group_IT_number 1
_space_group_name_Hall 'P 1'
_cell_length_a 6.742
_cell_length_b 6.742
_cell_length_c 4.397
_cell_angle_alpha 90.00
_cell_angle_beta 90.00
_cell_angle_gamma 90.00
loop_
_atom_site_label
_atom_site_fract_x
_atom_site_fract_y
_atom_site_fract_z
_atom_site_occupancy
Hg1 0.500 0.500 0.000 1
Li1 0.864 0.636 0.000 1
Mg1 0.673 0.827 0.500 1
Li2 0.636 0.136 0.000 1
Mg2 0.327 0.173 0.500 1
Mg3 0.173 0.673 0.500 1
Li3 0.364 0.864 0.000 1
Hg2 0.000 0.000 0.000 1
Mg4 0.827 0.327 0.500 1
Li4 0.136 0.364 0.000 1
```

(4)
VASP calculation (PBE) on a relaxed Li9Mg4Hg11 crystal.

volume = 19.69 Å³ per atom
total magnetization = 0.000 μB/f.u.
ΔH_f (0 K) = -7.18 eV per formula unit
E = -1.421 eV per atom

Structure (CIF):
```
data_Li9Mg4Hg11
_chemical_formula_sum 'Li9 Mg4 Hg11'
_space_group_name_H-M_alt 'P 1'
_space_group_IT_number 1
_space_group_name_Hall 'P 1'
_cell_length_a 3.310
_cell_length_b 12.417
_cell_length_c 12.417
_cell_angle_alpha 112.23
_cell_angle_beta 90.00
_cell_angle_gamma 90.00
loop_
_atom_site_label
_atom_site_fract_x
_atom_site_fract_y
_atom_site_fract_z
_atom_site_occupancy
Li1 0.500 0.150 0.619 1
Li2 0.500 0.500 0.500 1
Li3 0.500 0.977 0.798 1
Hg1 0.000 0.596 0.951 1
Hg2 0.000 0.639 0.361 1
Mg1 0.500 0.428 0.249 1
Hg3 0.000 0.775 0.775 1
Li4 0.500 0.023 0.202 1
Hg4 0.000 0.404 0.049 1
Hg5 0.000 0.821 0.179 1
Mg2 0.500 0.751 0.572 1
Hg6 0.000 0.361 0.639 1
Li5 0.500 0.798 0.977 1
Mg3 0.500 0.572 0.751 1
Hg7 0.000 0.000 0.000 1
Hg8 0.000 0.179 0.821 1
Hg9 0.000 0.049 0.404 1
Li6 0.500 0.619 0.150 1
Li7 0.500 0.202 0.023 1
Hg10 0.000 0.951 0.596 1
Li8 0.500 0.850 0.381 1
Li9 0.500 0.381 0.850 1
Hg11 0.000 0.225 0.225 1
Mg4 0.500 0.249 0.428 1
```

(5)
VASP calculation (PBE) on a relaxed Li4Mg3Hg crystal.

volume = 19.57 Å³ per atom
total magnetization = 0.000 μB/f.u.
ΔH_f (0 K) = -1.16 eV per formula unit
E = -1.738 eV per atom

Structure (CIF):
```
data_Li4Mg3Hg
_chemical_formula_sum 'Li4 Mg3 Hg1'
_space_group_name_H-M_alt 'P 1'
_space_group_IT_number 1
_space_group_name_Hall 'P 1'
_cell_length_a 4.410
_cell_length_b 4.413
_cell_length_c 8.625
_cell_angle_alpha 104.76
_cell_angle_beta 104.81
_cell_angle_gamma 90.00
loop_
_atom_site_label
_atom_site_fract_x
_atom_site_fract_y
_atom_site_fract_z
_atom_site_occupancy
Li1 0.120 0.120 0.240 1
Mg1 0.751 0.252 0.503 1
Li2 0.380 0.379 0.760 1
Hg1 0.500 0.000 0.000 1
Mg2 0.000 0.500 0.000 1
Mg3 0.249 0.748 0.497 1
Li3 0.620 0.621 0.240 1
Li4 0.880 0.880 0.760 1
```

(6)
VASP calculation (PBE) on a relaxed LiMg3Hg3 crystal.

volume = 21.84 Å³ per atom
total magnetization = 0.000 μB/f.u.
ΔH_f (0 K) = -1.45 eV per formula unit
E = -1.294 eV per atom

Structure (CIF):
```
data_LiMg3Hg3
_chemical_formula_sum 'Li2 Mg6 Hg6'
_space_group_name_H-M_alt 'P 1'
_space_group_IT_number 1
_space_group_name_Hall 'P 1'
_cell_length_a 6.767
_cell_length_b 6.767
_cell_length_c 6.678
_cell_angle_alpha 90.01
_cell_angle_beta 90.01
_cell_angle_gamma 89.23
loop_
_atom_site_label
_atom_site_fract_x
_atom_site_fract_y
_atom_site_fract_z
_atom_site_occupancy
Mg1 0.263 0.263 0.500 1
Li1 0.247 0.247 0.000 1
Hg1 0.000 0.000 0.240 1
Hg2 0.500 0.000 0.242 1
Mg2 0.265 0.735 0.500 1
Li2 0.753 0.753 0.000 1
Mg3 0.711 0.289 0.000 1
Hg3 0.000 0.500 0.758 1
Mg4 0.735 0.265 0.500 1
Mg5 0.737 0.737 0.500 1
Mg6 0.289 0.711 0.000 1
Hg4 0.000 0.500 0.242 1
Hg5 0.500 0.000 0.758 1
Hg6 0.000 0.000 0.760 1
```

(7)
VASP calculation (PBE) on a relaxed Li15Mg4Hg crystal.

volume = 19.57 Å³ per atom
total magnetization = 0.000 μB/f.u.
ΔH_f (0 K) = -1.48 eV per formula unit
E = -1.843 eV per atom

Structure (CIF):
```
data_Li15Mg4Hg
_chemical_formula_sum 'Li15 Mg4 Hg1'
_space_group_name_H-M_alt 'P 1'
_space_group_IT_number 1
_space_group_name_Hall 'P 1'
_cell_length_a 4.216
_cell_length_b 4.216
_cell_length_c 22.022
_cell_angle_alpha 90.00
_cell_angle_beta 90.00
_cell_angle_gamma 90.00
loop_
_atom_site_label
_atom_site_fract_x
_atom_site_fract_y
_atom_site_fract_z
_atom_site_occupancy
Hg1 0.000 0.000 0.000 1
Mg1 0.000 0.000 0.397 1
Li1 0.000 0.500 0.705 1
Mg2 0.000 0.000 0.193 1
Li2 0.500 0.000 0.091 1
Li3 0.500 0.000 0.909 1
Li4 0.500 0.000 0.295 1
Li5 0.500 0.000 0.500 1
Mg3 0.000 0.000 0.807 1
Li6 0.000 0.500 0.500 1
Li7 0.500 0.500 0.603 1
Li8 0.500 0.000 0.705 1
Li9 0.500 0.500 0.000 1
Li10 0.500 0.500 0.193 1
Li11 0.000 0.500 0.909 1
Li12 0.500 0.500 0.397 1
Mg4 0.000 0.000 0.603 1
Li13 0.000 0.500 0.091 1
Li14 0.500 0.500 0.807 1
Li15 0.000 0.500 0.295 1
```

(8)
VASP calculation (PBE) on a relaxed Li4Mg3Hg crystal.

volume = 20.63 Å³ per atom
total magnetization = 0.000 μB/f.u.
ΔH_f (0 K) = -0.56 eV per formula unit
E = -1.663 eV per atom

Structure (CIF):
```
data_Li4Mg3Hg
_chemical_formula_sum 'Li4 Mg3 Hg1'
_space_group_name_H-M_alt 'P 1'
_space_group_IT_number 1
_space_group_name_Hall 'P 1'
_cell_length_a 6.454
_cell_length_b 6.454
_cell_length_c 6.454
_cell_angle_alpha 77.81
_cell_angle_beta 127.19
_cell_angle_gamma 127.35
loop_
_atom_site_label
_atom_site_fract_x
_atom_site_fract_y
_atom_site_fract_z
_atom_site_occupancy
Mg1 0.575 0.737 0.312 1
Li1 0.081 0.740 0.822 1
Mg2 0.856 0.000 0.856 1
Li2 0.081 0.260 0.341 1
Li3 0.595 0.251 0.345 1
Hg1 0.294 0.500 0.794 1
Mg3 0.575 0.263 0.837 1
Li4 0.094 0.749 0.345 1
```

(9)
VASP calculation (PBE) on a relaxed Li10MgHg4 crystal.

volume = 22.90 Å³ per atom
total magnetization = 0.000 μB/f.u.
ΔH_f (0 K) = -1.02 eV per formula unit
E = -1.531 eV per atom

Structure (CIF):
```
data_Li10MgHg4
_chemical_formula_sum 'Li10 Mg1 Hg4'
_space_group_name_H-M_alt 'P 1'
_space_group_IT_number 1
_space_group_name_Hall 'P 1'
_cell_length_a 6.316
_cell_length_b 8.022
_cell_length_c 8.022
_cell_angle_alpha 81.09
_cell_angle_beta 66.82
_cell_angle_gamma 66.82
loop_
_atom_site_label
_atom_site_fract_x
_atom_site_fract_y
_atom_site_fract_z
_atom_site_occupancy
Li1 0.958 0.896 0.681 1
Li2 0.146 0.319 0.896 1
Li3 0.042 0.104 0.319 1
Li4 0.250 0.500 0.500 1
Hg1 0.795 0.610 0.799 1
Hg2 0.406 0.799 0.390 1
Li5 0.854 0.681 0.104 1
Hg3 0.594 0.201 0.610 1
Li6 0.535 0.104 0.319 1
Li7 0.465 0.896 0.681 1
Li8 0.750 0.500 0.500 1
Li9 0.361 0.681 0.104 1
Mg1 0.000 0.000 0.000 1
Li10 0.639 0.319 0.896 1
Hg4 0.205 0.390 0.201 1
```

(10)
VASP calculation (PBE) on a relaxed Li5MgHg crystal.

volume = 18.87 Å³ per atom
total magnetization = 0.000 μB/f.u.
ΔH_f (0 K) = -0.91 eV per formula unit
E = -1.768 eV per atom

Structure (CIF):
```
data_Li5MgHg
_chemical_formula_sum 'Li10 Mg2 Hg2'
_space_group_name_H-M_alt 'P 1'
_space_group_IT_number 1
_space_group_name_Hall 'P 1'
_cell_length_a 5.122
_cell_length_b 5.122
_cell_length_c 10.909
_cell_angle_alpha 77.12
_cell_angle_beta 77.12
_cell_angle_gamma 100.16
loop_
_atom_site_label
_atom_site_fract_x
_atom_site_fract_y
_atom_site_fract_z
_atom_site_occupancy
Li1 0.488 0.782 0.447 1
Li2 0.533 0.043 0.864 1
Li3 0.961 0.039 0.250 1
Hg1 0.000 0.000 0.000 1
Hg2 0.000 0.000 0.500 1
Li4 0.782 0.488 0.947 1
Li5 0.512 0.218 0.553 1
Li6 0.957 0.467 0.636 1
Li7 0.039 0.961 0.750 1
Mg1 0.582 0.418 0.250 1
Li8 0.467 0.957 0.136 1
Mg2 0.418 0.582 0.750 1
Li9 0.043 0.533 0.364 1
Li10 0.218 0.512 0.053 1
```